# 1
Hf3OsBr: relaxed, GGA-PBEsol.

a = 5.0151 Å, b = 5.0151 Å, c = 5.0151 Å
α = 90.00°, β = 90.00°, γ = 90.00°
With the nearest neighbours (Å) after each atom.
Space group Pm-3m (No. 221)
Unique sites:
Hf  0.0000  0.0000  0.5000  2 Os 2.51
Os  0.0000  0.0000  0.0000  6 Hf 2.51
Br  0.5000  0.5000  0.5000  12 Hf 3.55

Results
Total DFT energy (no corrections): -8.705 eV per atom
Energy relative to the elements, uncorrected: 200 kJ/mol of formula units


# 2
NaZnSb: relaxed, GGA-PBEsol.

a = 4.3951 Å, b = 4.3951 Å, c = 7.3873 Å
α = 90.00°, β = 90.00°, γ = 90.00°
With the nearest neighbours (Å) after each atom.
Space group P4/nmm (No. 129, origin choice 2)
Unique sites:
Na  0.2500  0.2500  0.1575  5 Sb 3.21-3.23, 4 Zn 3.35
Zn  0.2500  0.7500  0.5000  4 Sb 2.75
Sb  0.2500  0.2500  0.7232  4 Zn 2.75

Results
Total DFT energy (no corrections): -2.802 eV per atom
Energy relative to the elements, uncorrected: -84 kJ/mol of formula units


# 3
TlTeP2: relaxed, GGA-PBEsol.

a = 10.6794 Å, b = 3.2346 Å, c = 6.4686 Å
α = 90.00°, β = 118.13°, γ = 90.00°
With the nearest neighbours (Å) after each atom.
Space group Cm (No. 8)
Unique sites:
Tl  0.0000  0.0000  0.0000  3 P 2.97-3.16, 2 Tl 3.23
Te  0.1970  0.0000  0.6071  1 P 2.60
P  0.2858  0.5000  0.1697  2 P 2.19
P  0.3693  0.0000  0.4276  2 P 2.19

Results
Polymorph energy (0 for the lowest one): 0.000 eV/f.u.
Total DFT energy (no corrections): -4.376 eV per atom
Energy relative to the elements, uncorrected: 23 kJ/mol of formula units


# 4
LiCdPt3: relaxed, GGA-PBEsol.

a = 4.2369 Å, b = 4.2369 Å, c = 4.2369 Å
α = 90.00°, β = 90.00°, γ = 90.00°
With the nearest neighbours (Å) after each atom.
Space group Pm-3m (No. 221)
Unique sites:
Li  0.0000  0.0000  0.0000  6 Pt 2.12
Cd  0.5000  0.5000  0.5000  12 Pt 3.00
Pt  0.0000  0.0000  0.5000  2 Li 2.12

Results
Total DFT energy (no corrections): -4.523 eV per atom


# 5
CdRhSeBr2: relaxed, GGA-PBEsol.

a = 5.0483 Å, b = 5.0483 Å, c = 4.7269 Å
α = 90.00°, β = 90.00°, γ = 90.00°
With the nearest neighbours (Å) after each atom.
Space group P4/mmm (No. 123)
Unique sites:
Cd  0.0000  0.0000  0.0000  8 Br 3.46, 4 Se 3.57
Rh  0.5000  0.5000  0.5000  2 Se 2.36, 4 Br 2.52
Se  0.5000  0.5000  0.0000  2 Rh 2.36
Br  0.0000  0.5000  0.5000  2 Rh 2.52

Results
Total DFT energy (no corrections): -3.364 eV per atom
Energy relative to the elements, uncorrected: 10 kJ/mol of formula units


# 6
SbPbSI2: relaxed, GGA-PBEsol.

a = 5.3616 Å, b = 5.3616 Å, c = 5.3641 Å
α = 90.00°, β = 90.00°, γ = 90.00°
With the nearest neighbours (Å) after each atom.
Space group P4/mmm (No. 123)
Unique sites:
Sb  0.0000  0.0000  0.0000  2 S 2.68
Pb  0.5000  0.5000  0.0000  4 Sb 3.79, 8 I 3.79
S  0.0000  0.0000  0.5000  4 I 2.68, 2 Sb 2.68
I  0.0000  0.5000  0.5000  2 S 2.68

Results
Total DFT energy (no corrections): -3.038 eV per atom
Energy relative to the elements, uncorrected: 124 kJ/mol of formula units


Copy entry 4 word for word.
LiCdPt3: relaxed, GGA-PBEsol.

a = 4.2369 Å, b = 4.2369 Å, c = 4.2369 Å
α = 90.00°, β = 90.00°, γ = 90.00°
With the nearest neighbours (Å) after each atom.
Space group Pm-3m (No. 221)
Unique sites:
Li  0.0000  0.0000  0.0000  6 Pt 2.12
Cd  0.5000  0.5000  0.5000  12 Pt 3.00
Pt  0.0000  0.0000  0.5000  2 Li 2.12

Results
Total DFT energy (no corrections): -4.523 eV per atom